Record 1
Material: K4TeP4H10O20
Method: DFT, meta-GGA SCAN
State: PBEsol geometry

POSCAR file:
```
K4TeP4H10O20
1.0
-1.884 0.776 -7.193
-1.958 -7.152 0.955
-14.323 6.472 6.168
K Te P H O
8 2 8 20 40
Direct
0.072 0.928 0.750
0.928 0.072 0.250
0.206 0.446 0.432
0.554 0.794 0.068
0.794 0.554 0.568
0.446 0.206 0.932
0.289 0.711 0.250
0.711 0.289 0.750
0.000 0.000 0.000
0.000 0.000 0.500
0.639 0.349 0.134
0.651 0.361 0.366
0.361 0.651 0.866
0.349 0.639 0.634
0.764 0.643 0.265
0.357 0.236 0.235
0.236 0.357 0.735
0.643 0.764 0.765
0.185 0.866 0.597
0.134 0.815 0.903
0.815 0.134 0.403
0.866 0.185 0.097
0.973 0.737 0.401
0.263 0.027 0.099
0.027 0.263 0.599
0.737 0.973 0.901
0.267 0.998 0.427
0.002 0.733 0.073
0.733 0.002 0.573
0.998 0.267 0.927
0.553 0.908 0.424
0.092 0.447 0.076
0.447 0.092 0.576
0.908 0.553 0.924
0.429 0.795 0.478
0.205 0.571 0.022
0.571 0.205 0.522
0.795 0.429 0.978
0.206 0.993 0.578
0.007 0.794 0.922
0.794 0.007 0.422
0.993 0.206 0.078
0.992 0.745 0.462
0.255 0.008 0.038
0.008 0.255 0.538
0.745 0.992 0.962
0.166 0.074 0.423
0.926 0.834 0.077
0.834 0.926 0.577
0.074 0.166 0.923
0.467 0.785 0.704
0.215 0.533 0.796
0.533 0.215 0.296
0.785 0.467 0.204
0.357 0.447 0.669
0.553 0.643 0.831
0.643 0.553 0.331
0.447 0.357 0.169
0.441 0.639 0.559
0.361 0.559 0.941
0.559 0.361 0.441
0.639 0.441 0.059
0.158 0.681 0.631
0.319 0.842 0.869
0.842 0.319 0.369
0.681 0.158 0.131
0.954 0.719 0.304
0.281 0.046 0.196
0.046 0.281 0.696
0.719 0.954 0.804
0.237 0.348 0.275
0.652 0.763 0.225
0.763 0.652 0.725
0.348 0.237 0.775
0.423 0.853 0.427
0.147 0.577 0.073
0.577 0.147 0.573
0.853 0.423 0.927
```

**DFT total energy**: -8.754 eV/atom

***

Record 2
Material: KYP2H4O9
Method: DFT, meta-GGA SCAN
State: PBEsol geometry

POSCAR file:
```
KYP2H4O9
1.0
7.743 -0.001 0.000
-0.522 10.022 0.000
0.000 0.000 10.354
K Y P H O
4 4 8 16 36
Direct
0.249 0.663 0.277
0.751 0.337 0.723
0.751 0.837 0.777
0.249 0.163 0.223
0.253 0.825 0.886
0.747 0.175 0.114
0.747 0.675 0.386
0.253 0.325 0.614
0.030 0.618 0.655
0.970 0.382 0.345
0.970 0.882 0.155
0.030 0.118 0.845
0.389 0.666 0.606
0.611 0.334 0.394
0.611 0.834 0.106
0.389 0.166 0.894
0.568 0.634 0.922
0.432 0.366 0.078
0.432 0.866 0.422
0.568 0.134 0.578
0.531 0.537 0.804
0.469 0.463 0.196
0.469 0.963 0.304
0.531 0.037 0.696
0.156 0.543 0.908
0.844 0.457 0.092
0.844 0.957 0.408
0.156 0.043 0.592
0.301 0.540 0.021
0.699 0.460 0.979
0.699 0.960 0.521
0.301 0.040 0.479
0.419 0.523 0.647
0.581 0.477 0.353
0.581 0.977 0.147
0.419 0.023 0.853
0.412 0.765 0.717
0.588 0.235 0.283
0.588 0.735 0.217
0.412 0.265 0.783
0.058 0.972 0.815
0.942 0.028 0.185
0.942 0.528 0.315
0.058 0.472 0.685
0.046 0.706 0.775
0.954 0.294 0.225
0.954 0.794 0.275
0.046 0.206 0.725
0.136 0.861 0.081
0.864 0.139 0.919
0.864 0.639 0.581
0.136 0.361 0.419
0.617 0.558 0.874
0.383 0.442 0.126
0.383 0.942 0.374
0.617 0.058 0.626
0.233 0.599 0.962
0.767 0.401 0.038
0.767 0.901 0.462
0.233 0.099 0.538
0.511 0.786 0.986
0.489 0.214 0.014
0.489 0.714 0.486
0.511 0.286 0.514
0.188 0.668 0.558
0.812 0.332 0.442
0.812 0.832 0.058
0.188 0.168 0.942
```

**DFT total energy**: -9.763 eV/atom

***

Record 3
Material: KZnP2H5O9
Method: DFT, meta-GGA SCAN
State: PBEsol geometry

POSCAR file:
```
KZnP2H5O9
1.0
-3.398 -3.735 5.660
4.969 -5.569 2.374
5.161 2.178 5.446
K Zn P H O
2 2 4 10 18
Direct
0.153 0.765 0.218
0.847 0.235 0.782
0.255 0.234 0.027
0.745 0.766 0.973
0.614 0.950 0.259
0.386 0.050 0.741
0.920 0.320 0.262
0.080 0.680 0.738
0.440 0.535 0.734
0.560 0.465 0.266
0.548 0.682 0.728
0.452 0.318 0.272
0.152 0.269 0.439
0.848 0.731 0.561
0.796 0.071 0.431
0.204 0.929 0.569
0.525 0.695 0.482
0.475 0.305 0.518
0.734 0.919 0.425
0.515 0.783 0.329
0.265 0.060 0.908
0.485 0.217 0.671
0.242 0.501 0.848
0.758 0.499 0.152
0.157 0.820 0.556
0.843 0.180 0.444
0.469 0.155 0.191
0.531 0.845 0.809
0.020 0.212 0.143
0.980 0.788 0.857
0.945 0.607 0.661
0.055 0.393 0.339
0.449 0.419 0.322
0.551 0.581 0.678
0.735 0.940 0.092
0.266 0.081 0.575
```

**DFT total energy**: -8.285 eV/atom

***

Record 4
Material: KZrP2HO8
Method: DFT, meta-GGA SCAN
State: PBEsol geometry

POSCAR file:
```
KZrP2HO8
1.0
-3.510 1.042 -3.938
-1.877 -9.048 -0.720
-10.469 4.048 10.403
H K O P Zr
4 4 32 8 4
Direct
0.505 0.998 0.249
0.505 0.502 0.251
0.495 0.002 0.751
0.495 0.498 0.749
0.032 0.750 0.250
0.968 0.250 0.750
0.974 0.250 0.250
0.026 0.750 0.750
0.769 0.104 0.089
0.769 0.396 0.411
0.231 0.896 0.911
0.231 0.604 0.589
0.487 0.881 0.069
0.487 0.619 0.431
0.513 0.119 0.931
0.513 0.381 0.569
0.951 0.854 0.084
0.951 0.646 0.416
0.049 0.146 0.916
0.049 0.354 0.584
0.514 0.382 0.070
0.514 0.118 0.430
0.486 0.618 0.930
0.486 0.882 0.570
0.771 0.396 0.912
0.771 0.104 0.588
0.229 0.604 0.088
0.229 0.896 0.412
0.051 0.353 0.084
0.051 0.147 0.416
0.949 0.647 0.916
0.949 0.853 0.584
0.701 0.968 0.216
0.701 0.532 0.284
0.299 0.032 0.784
0.299 0.468 0.716
0.300 0.030 0.284
0.300 0.470 0.216
0.700 0.970 0.716
0.700 0.530 0.784
0.724 0.952 0.113
0.724 0.548 0.387
0.276 0.048 0.887
0.276 0.452 0.613
0.277 0.452 0.114
0.277 0.048 0.386
0.723 0.548 0.886
0.723 0.952 0.614
0.777 0.251 0.000
0.777 0.249 0.500
0.223 0.749 0.000
0.223 0.751 0.500
```

**DFT total energy**: -11.416 eV/atom

***

Record 5
Material: K2H2RuO5
Method: DFT, meta-GGA SCAN
State: PBEsol geometry

POSCAR file:
```
K2H2RuO5
1.0
6.686 0.000 0.000
0.000 7.892 0.000
0.000 0.000 10.391
K H Ru O
8 8 4 20
Direct
0.862 0.397 0.545
0.638 0.603 0.045
0.138 0.897 0.955
0.362 0.103 0.455
0.458 0.761 0.686
0.042 0.239 0.186
0.542 0.261 0.814
0.958 0.739 0.314
0.847 0.078 0.400
0.653 0.922 0.900
0.153 0.578 0.100
0.347 0.422 0.600
0.655 0.279 0.295
0.845 0.721 0.795
0.345 0.779 0.205
0.155 0.221 0.705
0.401 0.559 0.381
0.099 0.441 0.881
0.599 0.059 0.119
0.901 0.941 0.619
0.808 0.923 0.129
0.692 0.077 0.629
0.192 0.423 0.371
0.308 0.577 0.871
0.971 0.041 0.448
0.529 0.959 0.948
0.029 0.541 0.052
0.471 0.459 0.552
0.141 0.999 0.678
0.359 0.001 0.178
0.859 0.499 0.822
0.641 0.501 0.322
0.139 0.238 0.942
0.361 0.762 0.442
0.861 0.738 0.558
0.639 0.262 0.058
0.824 0.846 0.796
0.676 0.154 0.296
0.176 0.346 0.704
0.324 0.654 0.204
```

**DFT total energy**: -10.358 eV/atom

***

Record 6
Material: KVH6SO9
Method: DFT, meta-GGA SCAN
State: PBEsol geometry

POSCAR file:
```
KVH6SO9
1.0
6.185 0.007 0.000
-1.913 6.146 0.000
0.000 0.000 9.634
K V H S O
2 2 12 2 18
Direct
0.688 0.182 0.846
0.312 0.818 0.346
0.378 0.616 0.997
0.622 0.384 0.497
0.228 0.304 0.783
0.819 0.832 0.419
0.535 0.656 0.731
0.465 0.344 0.231
0.966 0.689 0.647
0.034 0.311 0.147
0.112 0.934 0.654
0.772 0.696 0.283
0.696 0.260 0.228
0.181 0.168 0.919
0.304 0.740 0.728
0.888 0.066 0.154
0.915 0.733 0.995
0.085 0.267 0.495
0.955 0.927 0.909
0.063 0.597 0.949
0.937 0.403 0.449
0.453 0.863 0.057
0.319 0.421 0.471
0.053 0.214 0.644
0.045 0.073 0.409
0.435 0.721 0.789
0.289 0.301 0.879
0.547 0.137 0.557
0.681 0.579 0.971
0.947 0.786 0.144
0.876 0.213 0.137
0.312 0.462 0.139
0.124 0.787 0.637
0.565 0.279 0.289
0.711 0.699 0.379
0.688 0.538 0.639
```

**DFT total energy**: -7.833 eV/atom

***

Record 7
Material: K4H6W2S2O9
Method: DFT, meta-GGA SCAN
State: PBEsol geometry

POSCAR file:
```
K4H6W2S2O9
1.0
6.418 -0.039 0.013
1.099 6.324 0.013
2.324 1.943 18.325
K H W S O
8 12 4 4 18
Direct
0.197 0.216 0.215
0.784 0.803 0.285
0.803 0.784 0.785
0.216 0.197 0.715
0.130 0.742 0.061
0.258 0.870 0.439
0.870 0.258 0.939
0.742 0.130 0.561
0.784 0.719 0.466
0.281 0.216 0.034
0.216 0.281 0.534
0.719 0.784 0.966
0.924 0.549 0.420
0.451 0.076 0.080
0.076 0.451 0.580
0.549 0.924 0.920
0.294 0.717 0.291
0.283 0.706 0.209
0.706 0.283 0.709
0.717 0.294 0.791
0.691 0.457 0.120
0.543 0.309 0.380
0.309 0.543 0.880
0.457 0.691 0.620
0.104 0.752 0.622
0.248 0.896 0.878
0.896 0.248 0.378
0.752 0.104 0.122
0.863 0.537 0.176
0.463 0.137 0.324
0.137 0.463 0.824
0.537 0.863 0.676
0.754 0.574 0.029
0.426 0.246 0.471
0.246 0.426 0.971
0.574 0.754 0.529
0.418 0.543 0.150
0.457 0.582 0.350
0.582 0.457 0.850
0.543 0.418 0.650
0.907 0.701 0.427
0.299 0.093 0.073
0.093 0.299 0.573
0.701 0.907 0.927
0.212 0.788 0.250
0.788 0.212 0.750
```

**DFT total energy**: -13.345 eV/atom

***

Record 8
Material: K4H5Se4O16
Method: DFT, meta-GGA SCAN
State: PBEsol geometry

POSCAR file:
```
K4H5Se4O16
1.0
-4.267 -3.056 5.383
5.895 -3.737 3.466
2.871 4.679 5.573
K H Se O
4 5 4 16
Direct
0.670 0.184 0.341
0.330 0.816 0.659
0.036 0.751 0.213
0.964 0.249 0.787
0.253 0.430 0.035
0.747 0.570 0.965
0.646 0.011 0.081
0.354 0.989 0.919
0.500 0.500 0.500
0.133 0.213 0.281
0.867 0.787 0.719
0.531 0.719 0.192
0.469 0.281 0.808
0.007 0.251 0.446
0.993 0.749 0.554
0.320 0.108 0.813
0.680 0.892 0.187
0.322 0.092 0.342
0.678 0.908 0.658
0.429 0.639 0.404
0.571 0.361 0.596
0.371 0.806 0.039
0.629 0.194 0.961
0.664 0.548 0.154
0.336 0.452 0.846
0.018 0.134 0.151
0.982 0.866 0.849
0.189 0.432 0.156
0.811 0.568 0.844
```

**DFT total energy**: -9.087 eV/atom